This record from Alexandria describes a geometry-optimized BaTaNi structure. The functional is PBE.

Lattice parameters (Å, degrees): 4.168 4.168 5.409 90.00 90.00 120.00
Element x y z (fractional)
Ni (0.667, 0.333, 0.500)
Ba (0.000, 0.000, 0.000)
Ta (0.333, 0.667, 0.500)

ΔH_f (0 K) in eV/atom: 0.5618
Distance to the lowest polymorph of the same formula in eV per atom: 0.121
Volume in Å³/atom: 27.1
M_tot in μB/f.u.: 0.000